Entry 1:
Entry from Alexandria: an optimized crystal structure of Al2MoBr (PBE).

Cell lengths 6.1079, 7.7508, 2.9442 Å; angles 90.00, 90.00, 90.00 degrees
Space group Cmmm (No. 65)
One atom of each set of equivalent atoms:
1 Al 0.2500 0.2500 0.0000 [4 per cell]
2 Mo 0.0000 0.0000 0.5000 [2 per cell]
3 Br 0.0000 0.5000 0.5000 [2 per cell]

=====

Entry 2:
Entry from Alexandria: an optimized crystal structure of Al2MoBr (PBE).

Cell lengths 3.3036, 4.6766, 8.9206 Å; angles 90.00, 90.00, 90.00 degrees
Space group Immm (No. 71)
One atom of each set of equivalent atoms:
1 Al 0.0000 0.0000 0.2370 [4 per cell]
2 Mo 0.0000 0.5000 0.5000 [2 per cell]
3 Br 0.0000 0.5000 0.0000 [2 per cell]

=====

Entry 3:
Entry from Alexandria: an optimized crystal structure of AlMo2Br (PBE).

Cell lengths 3.2428, 4.3418, 12.2178 Å; angles 90.00, 90.00, 90.00 degrees
Space group Imm2 (No. 44)
One atom of each set of equivalent atoms:
1 Al 0.0000 0.0000 0.0000 [2 per cell]
2 Mo 0.0000 0.0000 0.4687 [2 per cell]
3 Mo 0.0000 0.5000 0.1156 [2 per cell]
4 Br 0.0000 0.5000 0.7602 [2 per cell]

=====

Entry 4:
Entry from Alexandria: an optimized crystal structure of AlMo2Br (PBE).

Cell lengths 4.6584, 4.6584, 2.9661 Å; angles 90.00, 90.00, 90.00 degrees
Space group P4/mmm (No. 123)
One atom of each set of equivalent atoms:
1 Al 0.0000 0.0000 0.0000 [1 per cell]
2 Mo 0.0000 0.5000 0.5000 [2 per cell]
3 Br 0.5000 0.5000 0.0000 [1 per cell]

=====

Entry 5:
Entry from Alexandria: an optimized crystal structure of AlMo3Br (PBE).

Cell lengths 4.5881, 4.5881, 4.5881 Å; angles 90.00, 90.00, 90.00 degrees
Space group Pm-3m (No. 221)
One atom of each set of equivalent atoms:
1 Al 0.0000 0.0000 0.0000 [1 per cell]
2 Mo 0.0000 0.5000 0.5000 [3 per cell]
3 Br 0.5000 0.5000 0.5000 [1 per cell]

=====

Entry 6:
Entry from Alexandria: an optimized crystal structure of AlMo2Br (PBE).

Cell lengths 6.3552, 6.3552, 6.3552 Å; angles 90.00, 90.00, 90.00 degrees
Space group Fm-3m (No. 225)
One atom of each set of equivalent atoms:
1 Al 0.0000 0.0000 0.0000 [4 per cell]
2 Mo 0.2500 0.2500 0.2500 [8 per cell]
3 Br 0.0000 0.0000 0.5000 [4 per cell]

=====

Entry 7:
Entry from Alexandria: an optimized crystal structure of Al2MoBr (PBE).

Cell lengths 7.3910, 7.3910, 5.7138 Å; angles 90.00, 90.00, 90.00 degrees
Space group I-42d (No. 122)
One atom of each set of equivalent atoms:
1 Al 0.2342 0.2500 0.1250 [8 per cell]
2 Mo 0.0000 0.0000 0.0000 [4 per cell]
3 Br 0.0000 0.0000 0.5000 [4 per cell]

=====

Entry 8:
Entry from Alexandria: an optimized crystal structure of Al2MoBr (PBE).

Cell lengths 10.2725, 2.9686, 4.9467 Å; angles 90.00, 105.26, 90.00 degrees
Space group Cm (No. 8)
One atom of each set of equivalent atoms:
1 Al 0.0000 0.0000 0.0000 [2 per cell]
2 Al 0.2066 0.0000 0.6338 [2 per cell]
3 Mo 0.2301 0.5000 0.1057 [2 per cell]
4 Br 0.4159 0.0000 0.4387 [2 per cell]

=====

Entry 9:
Entry from Alexandria: an optimized crystal structure of NbAlMoBr2 (PBE).

Cell lengths 4.7047, 4.7047, 5.3276 Å; angles 90.00, 90.00, 90.00 degrees
Space group P4/mmm (No. 123)
One atom of each set of equivalent atoms:
1 Nb 0.0000 0.0000 0.0000 [1 per cell]
2 Al 0.5000 0.5000 0.5000 [1 per cell]
3 Mo 0.5000 0.5000 0.0000 [1 per cell]
4 Br 0.0000 0.5000 0.5000 [2 per cell]

=====

Entry 10:
Entry from Alexandria: an optimized crystal structure of RbAl2MoBr (PBE).

Cell lengths 5.5710, 5.5710, 6.0204 Å; angles 90.00, 90.00, 90.00 degrees
Space group P4/mmm (No. 123)
One atom of each set of equivalent atoms:
1 Rb 0.0000 0.0000 0.0000 [1 per cell]
2 Al 0.0000 0.5000 0.5000 [2 per cell]
3 Mo 0.5000 0.5000 0.0000 [1 per cell]
4 Br 0.0000 0.0000 0.5000 [1 per cell]

=====

| no. | raw total energy (eV per cell) | E_form (uncorrected) (eV per atom) |
| --- | --- | --- |
| 1 | -37.96 | 0.2523 |
| 2 | -36.81 | 0.3965 |
| 3 | -51.29 | 0.3584 |
| 4 | -24.47 | 0.6522 |
| 5 | -30.66 | 1.4502 |
| 6 | -96.15 | 0.7600 |
| 7 | -69.27 | 0.6680 |
| 8 | -38.42 | 0.1949 |
| 9 | -20.53 | 1.4919 |
| 10 | -14.68 | 1.2553 |